[1]
44
Lattice="9.8989 0.0000 0.0000 -4.2449 10.0649 0.0000 -0.8172 -4.1287 16.4503" Properties=species:S:1:pos:R:3 comment="Ho7C2I12N PBE optimized geometry" spacegroup="P-1 (2)" final_energy_ev_per_cell=-212.38 mass_density_g_cm3=5.50 pbc="T T T"
Ho -1.8279 3.6571 2.9429
Ho -1.1828 -0.2139 11.3705
Ho -1.3405 0.5600 16.1355
Ho -1.0437 3.8963 6.3309
Ho -1.1709 6.9079 2.4684
Ho -0.3956 7.2892 5.8137
Ho 1.6711 4.7453 3.8857
Ho 3.1657 1.1909 12.5646
Ho 5.2324 -1.3530 10.6366
Ho 6.0077 -0.9717 13.9819
Ho 5.8805 2.0399 10.1194
Ho 6.1773 5.3762 0.3149
Ho 6.0197 6.1501 5.0798
Ho 6.6647 2.2792 13.5074
C -1.7792 5.6117 4.6568
C -0.4125 5.2828 4.3616
C 5.2493 0.6534 12.0887
C 6.6160 0.3246 11.7935
I -0.9259 -1.9026 13.9931
I -3.0867 4.5435 11.4751
I -1.0897 1.7669 9.0448
I 1.1802 -1.5791 6.7033
I -2.1779 4.0704 15.9654
I 0.8570 2.5839 1.7947
I -0.0361 1.9757 13.3593
I 2.0280 -1.1070 10.9454
I -0.1099 5.9068 8.4832
I 1.8167 2.8011 6.1266
I 4.0770 -0.5739 3.8129
I 1.7118 6.4664 1.2697
I 3.1250 -0.5301 15.1807
I 0.7598 6.5101 12.6374
I 3.0201 3.1351 10.3238
I 4.9467 0.0294 7.9671
I 2.8089 7.0432 5.5049
I 4.8729 3.9606 3.0910
I 3.9798 3.3523 14.6556
I 7.0147 1.8658 0.4850
I 3.6566 7.5154 9.7470
I 5.9265 4.1693 7.4055
I 7.9235 1.3928 4.9753
I 5.7627 7.8389 2.4572
N -1.8190 5.1551 1.3857
N 6.6558 0.7811 15.0647

=====

[2]
4
Lattice="1.9047 1.0997 7.5913 -1.9047 1.0997 7.5913 0.0000 -2.1994 7.5913" Properties=species:S:1:pos:R:3 comment="NdHoCI PBE optimized geometry" spacegroup="R3m (160)" final_energy_ev_per_cell=-22.99 mass_density_g_cm3=7.80 pbc="T T T"
Nd 0.0000 0.0000 0.0000
Ho 0.0000 0.0000 4.9775
C 0.0000 0.0000 13.7271
I 0.0000 0.0000 17.7682

=====

[3]
7
Lattice="-2.2520 2.2520 9.8768 2.2520 -2.2520 9.8768 2.2520 2.2520 -9.8768" Properties=species:S:1:pos:R:3 comment="Nd2HoC2I2 PBE optimized geometry" spacegroup="I4/mmm (139)" final_energy_ev_per_cell=-39.17 mass_density_g_cm3=6.06 pbc="T T T"
Nd 0.0000 0.0000 1.5743
Nd 0.0000 0.0000 18.1792
Ho 0.0000 0.0000 9.8768
C 2.2520 0.0000 0.0000
C 0.0000 2.2520 0.0000
I 0.0000 0.0000 6.6390
I 0.0000 0.0000 13.1145

=====

[4]
4
Lattice="1.9100 1.1028 7.6421 -1.9100 1.1028 7.6421 0.0000 -2.2055 7.6421" Properties=species:S:1:pos:R:3 comment="PrHoCI PBE optimized geometry" spacegroup="R3m (160)" final_energy_ev_per_cell=-22.96 mass_density_g_cm3=7.65 pbc="T T T"
Pr 0.0000 0.0000 0.0000
Ho 0.0000 0.0000 5.0067
C 0.0000 0.0000 13.7988
I 0.0000 0.0000 17.9064

=====

[5]
4
Lattice="1.8953 1.0942 7.5130 -1.8953 1.0942 7.5130 0.0000 -2.1885 7.5130" Properties=species:S:1:pos:R:3 comment="SmHoCI PBE optimized geometry" spacegroup="R3m (160)" final_energy_ev_per_cell=-22.99 mass_density_g_cm3=8.07 pbc="T T T"
Sm 0.0000 0.0000 0.0000
Ho 0.0000 0.0000 4.9357
C 0.0000 0.0000 13.6206
I 0.0000 0.0000 17.5563

=====

[6]
7
Lattice="-2.2375 2.2375 9.9676 2.2375 -2.2375 9.9676 2.2375 2.2375 -9.9676" Properties=species:S:1:pos:R:3 comment="Sm2HoC2I2 PBE optimized geometry" spacegroup="I4/mmm (139)" final_energy_ev_per_cell=-38.97 mass_density_g_cm3=6.18 pbc="T T T"
Sm 0.0000 0.0000 1.5399
Sm 0.0000 0.0000 18.3954
Ho 0.0000 0.0000 9.9676
C 2.2375 0.0000 0.0000
C 0.0000 2.2375 0.0000
I 0.0000 0.0000 6.7429
I 0.0000 0.0000 13.1924

=====

[7]
4
Lattice="1.8761 1.0832 7.7630 -1.8761 1.0832 7.7630 0.0000 -2.1663 7.7630" Properties=species:S:1:pos:R:3 comment="HoThCI PBE optimized geometry" spacegroup="R3m (160)" final_energy_ev_per_cell=-25.56 mass_density_g_cm3=9.41 pbc="T T T"
Ho 0.0000 0.0000 0.0000
Th 0.0000 0.0000 5.0826
C 0.0000 0.0000 14.2444
I 0.0000 0.0000 17.9468

=====

[8]
4
Lattice="1.8642 1.0763 7.3364 -1.8642 1.0763 7.3364 0.0000 -2.1526 7.3364" Properties=species:S:1:pos:R:3 comment="HoTmCI PBE optimized geometry" spacegroup="R3m (160)" final_energy_ev_per_cell=-22.78 mass_density_g_cm3=8.89 pbc="T T T"
Ho 0.0000 0.0000 0.0000
Tm 0.0000 0.0000 17.1546
C 0.0000 0.0000 8.6525
I 0.0000 0.0000 4.8882

=====

[9]
4
Lattice="1.7930 1.0352 8.1158 -1.7930 1.0352 8.1158 0.0000 -2.0703 8.1158" Properties=species:S:1:pos:R:3 comment="Ho2InC PBE optimized geometry" e_form_mev_per_atom=-412 spacegroup="R-3m (166)" mass_density_g_cm3=8.39 pbc="T T T"
Ho 0.0000 0.0000 5.4018
Ho 0.0000 0.0000 18.9455
In 0.0000 0.0000 0.0000
C 0.0000 0.0000 12.1736

=====

[10]
9
Lattice="0.0000 4.8731 4.8731 4.8731 0.0000 4.8731 4.8731 4.8731 0.0000" Properties=species:S:1:pos:R:3 comment="Ho6In2C PBE optimized geometry" relative_energy_mev_per_atom=0.0 e_form_mev_per_atom=-414 spacegroup="Fm-3m (225)" mass_density_g_cm3=8.83 pbc="T T T"
Ho 4.8731 4.8731 2.3907
Ho 4.8731 2.3907 4.8731
Ho 7.3555 4.8731 4.8731
Ho 2.3907 4.8731 4.8731
Ho 4.8731 7.3555 4.8731
Ho 4.8731 4.8731 7.3555
In 2.4365 2.4365 2.4365
In 7.3096 7.3096 7.3096
C 0.0000 0.0000 0.0000

=====

[11]
12
Lattice="-3.4901 3.4901 7.0292 3.4901 -3.4901 7.0292 3.4901 3.4901 -7.0292" Properties=species:S:1:pos:R:3 comment="Ho8In3C PBE optimized geometry" e_form_mev_per_atom=75 spacegroup="I4/mmm (139)" mass_density_g_cm3=8.13 pbc="T T T"
Ho 1.6280 1.6280 -1.6266
Ho 1.8621 -1.8621 5.4026
Ho 1.6280 1.6280 1.6266
Ho 1.8621 -1.8621 8.6558
Ho -1.8621 1.8621 5.4026
Ho 1.8621 1.8621 5.4026
Ho -1.8621 1.8621 8.6558
Ho 1.8621 1.8621 8.6558
In 3.4901 0.0000 3.5146
In 0.0000 0.0000 7.0292
In 0.0000 3.4901 3.5146
C 0.0000 0.0000 0.0000

=====

[12]
9
Lattice="3.5687 0.0000 0.0000 0.0000 7.4734 4.3172 0.0000 -7.4734 4.3172" Properties=species:S:1:pos:R:3 comment="Ho6In2C PBE optimized geometry" relative_energy_mev_per_atom=212.9 e_form_mev_per_atom=-201 spacegroup="Amm2 (38)" mass_density_g_cm3=8.88 pbc="T T T"
Ho 0.0000 0.0000 0.0000
Ho 0.0000 -1.6056 5.8533
Ho 0.0000 1.6056 5.8533
Ho 1.7844 -4.4250 4.2339
Ho 1.7844 0.0000 3.2486
Ho 1.7844 4.4250 4.2339
In 0.0000 -2.4964 2.4719
In 0.0000 2.4964 2.4719
C 1.7844 0.0000 6.7807